# 1
Here is an optimized crystal structure of SiRh2C from the Alexandria database. Energies are from PBE. Values from VASP.

Quantum ESPRESSO input file:
```
&SYSTEM
  ibrav = 0, nat = 8, ntyp = 3
/
ATOMIC_SPECIES
Si 28.09 Si.upf
Rh 102.91 Rh.upf
C 12.01 C.upf
CELL_PARAMETERS angstrom
-0.067 1.897 -4.663
4.626 -1.817 -0.805
0.396 -4.031 -4.363
ATOMIC_POSITIONS angstrom
Si 0.000 0.000 0.000
Si 1.304 -1.047 -5.880
Rh 0.640 -0.176 -3.795
Rh 2.977 -1.780 -2.488
Rh 2.315 -3.115 -5.377
Rh 3.978 -2.832 -8.004
C 2.279 0.040 -2.734
C 3.651 -2.904 -3.951
```

DOS at the Fermi energy   3.0 states/eV per cell
ΔE to the lowest computed polymorph   0.0 kJ/mol of formula units
Space-group type   No. 122



# 2
Here is an optimized crystal structure of SiRh2C from the Alexandria database. Energies are from PBE. Values from VASP.

Quantum ESPRESSO input file:
```
&SYSTEM
  ibrav = 0, nat = 4, ntyp = 3
/
ATOMIC_SPECIES
Si 28.09 Si.upf
Rh 102.91 Rh.upf
C 12.01 C.upf
CELL_PARAMETERS angstrom
-2.099 -3.418 -0.688
-3.871 -0.292 1.222
-3.004 -0.025 -2.745
ATOMIC_POSITIONS angstrom
Si -4.487 -1.867 -1.106
Rh -2.243 -0.934 -0.553
Rh -6.730 -2.801 -1.659
C 0.000 0.000 0.000
```

DOS at the Fermi energy   5.5 states/eV per cell
ΔE to the lowest computed polymorph   190.8 kJ/mol of formula units
Space-group type   No. 225



# 3
Here is an optimized crystal structure of SiRhC2 from the Alexandria database. Energies are from PBE. Values from VASP.

Quantum ESPRESSO input file:
```
&SYSTEM
  ibrav = 0, nat = 4, ntyp = 3
/
ATOMIC_SPECIES
Si 28.09 Si.upf
Rh 102.91 Rh.upf
C 12.01 C.upf
CELL_PARAMETERS angstrom
2.619 0.000 0.000
0.000 3.071 0.000
0.000 0.000 5.519
ATOMIC_POSITIONS angstrom
Si 1.310 0.000 2.558
Rh 0.000 1.536 1.226
C 1.310 0.000 4.458
C 0.000 0.000 5.104
```

DOS at the Fermi energy   1.6 states/eV per cell
Space-group type   No. 25



# 4
Here is an optimized crystal structure of SiRhC2 from the Alexandria database. Energies are from PBE. Values from VASP.

Quantum ESPRESSO input file:
```
&SYSTEM
  ibrav = 0, nat = 8, ntyp = 3
/
ATOMIC_SPECIES
Si 28.09 Si.upf
Rh 102.91 Rh.upf
C 12.01 C.upf
CELL_PARAMETERS angstrom
-1.320 0.281 4.403
-4.176 -1.563 -1.152
-1.411 -4.700 2.286
ATOMIC_POSITIONS angstrom
Si -2.748 -0.641 1.626
Si -4.167 -3.452 1.380
Rh 0.000 0.000 0.000
Rh -2.739 -2.530 4.157
C -1.666 -1.202 3.067
C -3.161 -2.110 0.515
C -3.226 -4.046 2.904
C -5.760 -4.607 4.589
```

DOS at the Fermi energy   3.9 states/eV per cell
Space-group type   No. 122



# 5
Here is an optimized crystal structure of SiRhC3 from the Alexandria database. Energies are from PBE. Values from VASP.

Quantum ESPRESSO input file:
```
&SYSTEM
  ibrav = 0, nat = 5, ntyp = 3
/
ATOMIC_SPECIES
Si 28.09 Si.upf
Rh 102.91 Rh.upf
C 12.01 C.upf
CELL_PARAMETERS angstrom
-0.541 3.381 1.474
-0.159 -1.510 3.405
3.685 0.431 0.364
ATOMIC_POSITIONS angstrom
Si 0.000 0.000 0.000
Rh 1.492 1.151 2.621
C -0.080 -0.755 1.702
C 1.842 0.216 0.182
C -0.271 1.691 0.737
```

DOS at the Fermi energy   3.4 states/eV per cell
ΔE to the lowest computed polymorph   0.0 kJ/mol of formula units
Space-group type   No. 221



# 6
Here is an optimized crystal structure of SiRhC2 from the Alexandria database. Energies are from PBE. Values from VASP.

Quantum ESPRESSO input file:
```
&SYSTEM
  ibrav = 0, nat = 4, ntyp = 3
/
ATOMIC_SPECIES
Si 28.09 Si.upf
Rh 102.91 Rh.upf
C 12.01 C.upf
CELL_PARAMETERS angstrom
-0.789 2.819 0.445
-2.005 -1.969 -0.932
-1.284 -1.194 5.286
ATOMIC_POSITIONS angstrom
Si -1.758 0.698 2.308
Rh -1.053 -0.979 4.334
C -1.968 -0.715 1.044
C -1.646 -0.416 -0.284
```

DOS at the Fermi energy   2.3 states/eV per cell
Space-group type   No. 156



One value per record, in order, for formation energy (no corrections): 0.110, 0.604, 0.243, 0.481, 1.990, 0.269 eV per atom.
One value per record, in order, for size of the total moment: 0.00, 0.75, 0.00, 0.00, 0.00, 0.00 Bohr magnetons per cell.
One value per record, in order, for calculated volume: 120.96, 47.66, 44.40, 91.71, 51.80, 42.27 Å³/cell.